{
  "formula": "Na2AgPt",
  "functional": "PBE-GGA",
  "state": "relaxed",
  "cell": [[1.446, 0.835, 10.697], [-1.446, 0.835, 10.697], [0.000, -1.670, 10.697]],
  "species": ["Na", "Na", "Ag", "Pt"],
  "frac_coords": [[0.085, 0.085, 0.085], [0.915, 0.915, 0.915], [0.500, 0.500, 0.500], [0.000, 0.000, 0.000]],
  "total_energy_ev_per_cell": -11.1,
  "space_group": "R-3m"
}

***

{
  "formula": "Ce2MgGa3",
  "functional": "PBE-GGA",
  "state": "relaxed",
  "cell": [[0.000, 4.668, 8.067], [3.541, 0.000, 8.067], [3.541, 4.668, 0.000]],
  "species": ["Ce", "Ce", "Ce", "Ce", "Mg", "Mg", "Ga", "Ga", "Ga", "Ga", "Ga", "Ga"],
  "frac_coords": [[0.249, 0.751, 0.751], [0.250, 0.250, 0.250], [0.750, 0.750, 0.750], [0.751, 0.249, 0.249], [0.333, 0.333, 0.667], [0.667, 0.667, 0.333], [0.164, 0.164, 0.836], [0.164, 0.672, 0.328], [0.328, 0.836, 0.164], [0.672, 0.164, 0.836], [0.836, 0.328, 0.672], [0.836, 0.836, 0.164]],
  "total_energy_ev_per_cell": -50.3,
  "space_group": "Fmmm"
}

***

{
  "formula": "La2HgC",
  "functional": "PBE-GGA",
  "state": "relaxed",
  "cell": [[1.873, 1.081, 8.544], [-1.873, 1.081, 8.544], [0.000, -2.163, 8.544]],
  "species": ["La", "La", "Hg", "C"],
  "frac_coords": [[0.000, 0.000, 0.000], [0.218, 0.218, 0.218], [0.444, 0.444, 0.444], [0.609, 0.609, 0.609]],
  "total_energy_ev_per_cell": -20.4,
  "space_group": "R3m"
}

***

{
  "formula": "CaZnBr2",
  "functional": "PBE-GGA",
  "state": "relaxed",
  "cell": [[3.682, -2.127, 0.000], [3.682, 2.127, 0.000], [-2.365, 0.000, 10.265]],
  "species": ["Ca", "Zn", "Br", "Br"],
  "frac_coords": [[0.000, 0.000, 0.000], [0.500, 0.500, 0.500], [0.284, 0.284, 0.846], [0.716, 0.716, 0.154]],
  "raw_formation_energy_kj_per_mol_atoms": -123.1,
  "space_group": "C2/m"
}

***

Computed spin magnetization, in the same sequence as the records: 0.00, 1.52, 0.00, 0.00 μB per formula unit.
Computed volume, in the same sequence as the records: 19.38, 22.23, 25.96, 40.20 Å³ per atom.